# 1
TaGeS2N after structural relaxation. Source: Alexandria, functional PBE.

Unit cell a=4.748 b=4.748 c=3.509 alpha=90.00 beta=90.00 gamma=90.00
Each line ends with the local moment (μB).
Positions (direct):
1 Ge 0.000 0.000 0.000  0.02
2 N 0.000 0.000 0.500  -0.15
3 S 0.000 0.500 0.000  -0.05
4 S 0.500 0.000 0.000  -0.05
5 Ta 0.500 0.500 0.500  0.61

Space-group type: P4/mmm, No. 123
Distance to the lowest polymorph of the same formula: 21.191 kcal/mol of atoms
E_form (uncorrected): 819 meV/atom

# 2
Dy5YPb4 after structural relaxation. Source: Alexandria, functional PBE.

Unit cell a=3.662 b=9.775 c=9.008 alpha=92.20 beta=101.73 gamma=90.00
Positions (direct):
1 Dy 0.809 0.612 0.618
2 Dy 0.845 0.243 0.690
3 Dy 0.155 0.757 0.310
4 Dy 0.500 0.500 0.000
5 Dy 0.191 0.388 0.382
6 Y 0.500 0.000 0.000
7 Pb 0.318 0.933 0.635
8 Pb 0.975 0.749 0.949
9 Pb 0.682 0.067 0.365
10 Pb 0.025 0.251 0.051

Space-group type: C2/m, No. 12
ΔE_f: -0.2059 eV per atom

# 3
NaLiSb after structural relaxation. Source: Alexandria, functional PBE.

Unit cell a=3.488 b=4.830 c=8.458 alpha=90.00 beta=90.00 gamma=90.00
Positions (direct):
1 Na 0.500 0.000 0.618
2 Na 0.000 0.500 0.382
3 Li 0.000 0.000 0.963
4 Li 0.500 0.500 0.037
5 Sb 0.500 0.000 0.232
6 Sb 0.000 0.500 0.768

Space-group type: Pmmn, No. 59
Distance to the lowest polymorph of the same formula: 0.000 kcal/mol of atoms
E_form (uncorrected): -474 meV/atom

# 4
Cs5NaTl4 after structural relaxation. Source: Alexandria, functional PBE.

Unit cell a=5.405 b=10.352 c=12.455 alpha=113.93 beta=102.53 gamma=90.00
Positions (direct):
1 Cs 0.134 0.272 0.267
2 Cs 0.205 0.797 0.410
3 Cs 0.795 0.203 0.590
4 Cs 0.500 0.500 0.000
5 Cs 0.866 0.728 0.733
6 Na 0.500 0.000 0.000
7 Tl 0.617 0.926 0.233
8 Tl 0.951 0.143 0.902
9 Tl 0.383 0.074 0.767
10 Tl 0.049 0.857 0.098

Space-group type: C2/m, No. 12
ΔE_f: -0.0632 eV per atom

# 5
SrCd2 after structural relaxation. Source: Alexandria, functional PBE.

Unit cell a=4.045 b=4.045 c=6.152 alpha=109.19 beta=109.19 gamma=90.00
Positions (direct):
1 Sr 0.000 0.000 0.000
2 Cd 0.684 0.684 0.369
3 Cd 0.316 0.316 0.631

Space-group type: I4/mmm, No. 139
ΔE_f: -0.2552 eV per atom

# 6
SmPu2Th after structural relaxation. Source: Alexandria, functional PBE.

Unit cell a=4.830 b=4.940 c=4.940 alpha=90.00 beta=90.00 gamma=90.00
Each line ends with the local moment (μB).
Positions (direct):
1 Sm 0.500 0.500 0.500  0.05
2 Th 0.500 0.000 0.000  0.20
3 Pu 0.000 0.000 0.500  5.41
4 Pu 0.000 0.500 0.000  5.41

Space-group type: P4/mmm, No. 123
ΔE_f: 0.1944 eV per atom
Distance to the lowest polymorph of the same formula: 0.255 kcal/mol of atoms

What did the sixth record say?
SmPu2Th after structural relaxation. Source: Alexandria, functional PBE.

Unit cell a=4.830 b=4.940 c=4.940 alpha=90.00 beta=90.00 gamma=90.00
Each line ends with the local moment (μB).
Positions (direct):
1 Sm 0.500 0.500 0.500  0.05
2 Th 0.500 0.000 0.000  0.20
3 Pu 0.000 0.000 0.500  5.41
4 Pu 0.000 0.500 0.000  5.41

Space-group type: P4/mmm, No. 123
ΔE_f: 0.1944 eV per atom
Distance to the lowest polymorph of the same formula: 0.255 kcal/mol of atoms